VASP calculation (PBE) on a relaxed LaYSb2Te crystal.

```
data_LaYSb2Te
_chemical_formula_sum 'La1 Y1 Sb2 Te1'
_cell_length_a 5.900
_cell_length_b 5.900
_cell_length_c 5.958
_cell_angle_alpha 90.00
_cell_angle_beta 90.00
_cell_angle_gamma 90.00
_symmetry_space_group_name_H-M 'P 4/m m m'
_symmetry_Int_Tables_number 123
_symmetry_space_group_name_Hall '-P 4 2'
loop_
_atom_site_label
_atom_site_type_symbol
_atom_site_fract_x
_atom_site_fract_y
_atom_site_fract_z
La1 La 0.000 0.000 0.000
Y1 Y 0.500 0.500 0.500
Sb1 Sb 0.000 0.500 0.000
Te1 Te 0.000 0.000 0.500
```

Summary:
Spin magnetization, μB/f.u.: 0.00
Final energy, eV per atom: -4.479
Uncorrected formation energy, meV per atom: 76.4

***

VASP calculation (PBE) on a relaxed LaZnSbTe2 crystal.

```
data_LaZnSbTe2
_chemical_formula_sum 'La1 Zn1 Sb1 Te2'
_cell_length_a 5.409
_cell_length_b 5.409
_cell_length_c 5.162
_cell_angle_alpha 90.00
_cell_angle_beta 90.00
_cell_angle_gamma 90.00
_symmetry_space_group_name_H-M 'P 4/m m m'
_symmetry_Int_Tables_number 123
_symmetry_space_group_name_Hall '-P 4 2'
loop_
_atom_site_label
_atom_site_type_symbol
_atom_site_fract_x
_atom_site_fract_y
_atom_site_fract_z
La1 La 0.000 0.000 0.000
Zn1 Zn 0.500 0.500 0.500
Sb1 Sb 0.500 0.500 0.000
Te1 Te 0.000 0.500 0.500
```

Summary:
Spin magnetization, μB/f.u.: 0.00
Final energy, eV per atom: -3.646
Uncorrected formation energy, meV per atom: -324.7

***

VASP calculation (PBE) on a relaxed LaZnSbTe2 crystal.

```
data_LaZnSbTe2
_chemical_formula_sum 'La1 Zn1 Sb1 Te2'
_cell_length_a 6.136
_cell_length_b 6.136
_cell_length_c 6.315
_cell_angle_alpha 90.00
_cell_angle_beta 90.00
_cell_angle_gamma 90.00
_symmetry_space_group_name_H-M 'P 4/m m m'
_symmetry_Int_Tables_number 123
_symmetry_space_group_name_Hall '-P 4 2'
loop_
_atom_site_label
_atom_site_type_symbol
_atom_site_fract_x
_atom_site_fract_y
_atom_site_fract_z
La1 La 0.000 0.000 0.000
Zn1 Zn 0.500 0.500 0.500
Sb1 Sb 0.000 0.000 0.500
Te1 Te 0.000 0.500 0.000
```

Summary:
Spin magnetization, μB/f.u.: 1.21
Final energy, eV per atom: -3.133
Uncorrected formation energy, meV per atom: 187.9

***

VASP calculation (PBE) on a relaxed LaZrSb2Te crystal.

```
data_LaZrSb2Te
_chemical_formula_sum 'La1 Zr1 Sb2 Te1'
_cell_length_a 5.496
_cell_length_b 5.496
_cell_length_c 5.606
_cell_angle_alpha 90.00
_cell_angle_beta 90.00
_cell_angle_gamma 90.00
_symmetry_space_group_name_H-M 'P 4/m m m'
_symmetry_Int_Tables_number 123
_symmetry_space_group_name_Hall '-P 4 2'
loop_
_atom_site_label
_atom_site_type_symbol
_atom_site_fract_x
_atom_site_fract_y
_atom_site_fract_z
La1 La 0.000 0.000 0.000
Zr1 Zr 0.500 0.500 0.500
Sb1 Sb 0.000 0.500 0.500
Te1 Te 0.500 0.500 0.000
```

Summary:
Spin magnetization, μB/f.u.: 0.00
Final energy, eV per atom: -5.407
Uncorrected formation energy, meV per atom: -434.6

***

VASP calculation (PBE) on a relaxed LaTh2Sb3 crystal.

```
data_LaTh2Sb3
_chemical_formula_sum 'La2 Th4 Sb6'
_cell_length_a 4.530
_cell_length_b 6.414
_cell_length_c 13.660
_cell_angle_alpha 90.00
_cell_angle_beta 90.00
_cell_angle_gamma 90.00
_symmetry_space_group_name_H-M 'I m m m'
_symmetry_Int_Tables_number 71
_symmetry_space_group_name_Hall '-I 2 2'
loop_
_atom_site_label
_atom_site_type_symbol
_atom_site_fract_x
_atom_site_fract_y
_atom_site_fract_z
La1 La 0.000 0.000 0.000
Th1 Th 0.000 0.000 0.335
Sb1 Sb 0.000 0.500 0.000
Sb2 Sb 0.000 0.500 0.330
```

Summary:
Spin magnetization, μB/f.u.: 0.00
Final energy, eV per atom: -6.398
Uncorrected formation energy, meV per atom: -1042.4

***

VASP calculation (PBE) on a relaxed LaTh4Sb5 crystal.

```
data_LaTh4Sb5
_chemical_formula_sum 'La2 Th8 Sb10'
_cell_length_a 4.526
_cell_length_b 6.392
_cell_length_c 22.659
_cell_angle_alpha 90.00
_cell_angle_beta 90.00
_cell_angle_gamma 90.00
_symmetry_space_group_name_H-M 'I m m m'
_symmetry_Int_Tables_number 71
_symmetry_space_group_name_Hall '-I 2 2'
loop_
_atom_site_label
_atom_site_type_symbol
_atom_site_fract_x
_atom_site_fract_y
_atom_site_fract_z
La1 La 0.000 0.000 0.000
Th1 Th 0.000 0.000 0.201
Th2 Th 0.000 0.000 0.400
Sb1 Sb 0.000 0.500 0.000
Sb2 Sb 0.000 0.500 0.199
Sb3 Sb 0.000 0.500 0.398
```

Summary:
Spin magnetization, μB/f.u.: 0.00
Final energy, eV per atom: -6.508
Uncorrected formation energy, meV per atom: -986.1

***

> The highest spin magnetization belongs to which entry?

number 3

***

> What is the uncorrected formation energy in the fifth record?

-1042.4 meV per atom

***

> Among the records above, which one has the highest uncorrected formation energy?

number 3

***

> spin magnetization of number 4 (LaZrSb2Te)?

0.00 μB/f.u.